Entry 1
HgPbW | PBEsol | optimized geometry

Calculated values
As for the space-group type: No. 187. The density of states at the Fermi level comes out at 1.95 states/eV/cell. The volume comes out at 20.57 Å³/atom. For the theoretical density, the calculation gives 15.92 Mg/m³.

a b c (Å): 4.931 4.931 2.931
angles (deg): 90.00 90.00 120.00
Positions (direct):
Hg1 0.000 0.000 0.000
Pb1 0.333 0.667 0.500
W1 0.667 0.333 0.500

---

Entry 2
HgPbW | PBEsol | optimized geometry

Calculated values
As for the space-group type: No. 216. The density of states at the Fermi level comes out at 5.92 states/eV/cell. The volume comes out at 23.88 Å³/atom. For the theoretical density, the calculation gives 13.71 Mg/m³.

a b c (Å): 6.593 6.593 6.593
angles (deg): 90.00 90.00 90.00
Positions (direct):
Hg1 0.000 0.000 0.000
Hg2 0.000 0.500 0.500
Hg3 0.500 0.000 0.500
Hg4 0.500 0.500 0.000
Pb1 0.000 0.000 0.500
Pb2 0.000 0.500 0.000
Pb3 0.500 0.000 0.000
Pb4 0.500 0.500 0.500
W1 0.250 0.250 0.750
W2 0.250 0.750 0.250
W3 0.750 0.250 0.250
W4 0.750 0.750 0.750

---

Q: Which of them is the most stable? A: entry 1.

---

Entry 1
ZnHgPb2 | PBEsol | optimized geometry

Calculated values
As for the space-group type: No. 139. The density of states at the Fermi level comes out at 3.21 states/eV/cell. The volume comes out at 24.57 Å³/atom. For the theoretical density, the calculation gives 11.49 Mg/m³.

a b c (Å): 5.048 5.048 7.715
angles (deg): 90.00 90.00 90.00
Positions (direct):
Zn1 0.000 0.000 0.000
Zn2 0.500 0.500 0.500
Hg1 0.000 0.000 0.500
Hg2 0.500 0.500 0.000
Pb1 0.000 0.500 0.250
Pb2 0.000 0.500 0.750
Pb3 0.500 0.000 0.250
Pb4 0.500 0.000 0.750

---

Entry 2
ZnHgPb2 | PBEsol | optimized geometry

Calculated values
As for the space-group type: No. 8. The density of states at the Fermi level comes out at 3.77 states/eV/cell. The volume comes out at 24.45 Å³/atom. For the theoretical density, the calculation gives 11.55 Mg/m³.

a b c (Å): 11.701 3.469 5.430
angles (deg): 90.00 117.41 90.00
Positions (direct):
Zn1 0.000 0.000 0.000
Zn2 0.500 0.500 0.000
Hg1 0.204 0.500 0.212
Hg2 0.704 0.000 0.212
Pb1 0.263 0.000 0.770
Pb2 0.475 0.000 0.478
Pb3 0.763 0.500 0.770
Pb4 0.975 0.500 0.478

---

Q: Which of them is the most stable? A: entry 2.

---

Entry 1
ZnHgPb2 | PBEsol | optimized geometry

Calculated values
As for the space-group type: No. 6. The density of states at the Fermi level comes out at 1.51 states/eV/cell. The volume comes out at 24.67 Å³/atom. For the theoretical density, the calculation gives 11.45 Mg/m³.

a b c (Å): 3.667 4.636 6.080
angles (deg): 90.00 107.35 90.00
Positions (direct):
Zn1 0.000 0.000 0.000
Hg1 0.140 0.500 0.271
Pb1 0.412 0.500 0.818
Pb2 0.743 0.000 0.477

---

Entry 2
ZnHgPb2 | PBEsol | optimized geometry

Calculated values
As for the space-group type: No. 123. The density of states at the Fermi level comes out at 1.59 states/eV/cell. The volume comes out at 24.46 Å³/atom. For the theoretical density, the calculation gives 11.55 Mg/m³.

a b c (Å): 3.429 3.429 8.319
angles (deg): 90.00 90.00 90.00
Positions (direct):
Zn1 0.000 0.000 0.000
Hg1 0.000 0.000 0.500
Pb1 0.500 0.500 0.223
Pb2 0.500 0.500 0.777

---

Entry 3
ZnHgPb2 | PBEsol | optimized geometry

Calculated values
As for the space-group type: No. 99. The density of states at the Fermi level comes out at 1.48 states/eV/cell. The volume comes out at 24.50 Å³/atom. For the theoretical density, the calculation gives 11.53 Mg/m³.

a b c (Å): 3.561 3.561 7.729
angles (deg): 90.00 90.00 90.00
Positions (direct):
Zn1 0.000 0.000 0.000
Hg1 0.500 0.500 0.179
Pb1 0.000 0.000 0.438
Pb2 0.500 0.500 0.764

---

Q: Which of them is the most stable? A: entry 3.

---

Entry 1
SrHg2Pd2 | PBEsol | optimized geometry

Calculated values
As for the space-group type: No. 127. The density of states at the Fermi level comes out at 2.68 states/eV/cell. The volume comes out at 20.36 Å³/atom. For the theoretical density, the calculation gives 11.44 Mg/m³.

a b c (Å): 7.634 7.634 3.494
angles (deg): 90.00 90.00 90.00
Positions (direct):
Sr1 0.000 0.000 0.000
Sr2 0.500 0.500 0.000
Hg1 0.160 0.340 0.500
Hg2 0.340 0.840 0.500
Hg3 0.660 0.160 0.500
Hg4 0.840 0.660 0.500
Pd1 0.133 0.633 0.000
Pd2 0.367 0.133 0.000
Pd3 0.633 0.867 0.000
Pd4 0.867 0.367 0.000

---

Entry 2
SrHg2Pd2 | PBEsol | optimized geometry

Calculated values
As for the space-group type: No. 139. The density of states at the Fermi level comes out at 3.88 states/eV/cell. The volume comes out at 22.20 Å³/atom. For the theoretical density, the calculation gives 10.50 Mg/m³.

a b c (Å): 4.286 4.286 12.085
angles (deg): 90.00 90.00 90.00
Positions (direct):
Sr1 0.000 0.000 0.000
Sr2 0.500 0.500 0.500
Hg1 0.000 0.000 0.385
Hg2 0.000 0.000 0.615
Hg3 0.500 0.500 0.115
Hg4 0.500 0.500 0.885
Pd1 0.000 0.500 0.250
Pd2 0.000 0.500 0.750
Pd3 0.500 0.000 0.250
Pd4 0.500 0.000 0.750

---

Q: Which of them is the most stable? A: entry 1.

---

Entry 1
Hg3Pt | PBEsol | optimized geometry

Calculated values
As for the space-group type: No. 166. The density of states at the Fermi level comes out at 4.53 states/eV/cell. The volume comes out at 19.71 Å³/atom. For the theoretical density, the calculation gives 16.78 Mg/m³.

a b c (Å): 3.075 3.075 28.891
angles (deg): 90.00 90.00 120.00
Positions (direct):
Hg1 0.000 0.000 0.000
Hg2 0.000 0.000 0.243
Hg3 0.000 0.000 0.757
Hg4 0.333 0.667 0.424
Hg5 0.333 0.667 0.667
Hg6 0.333 0.667 0.910
Hg7 0.667 0.333 0.090
Hg8 0.667 0.333 0.333
Hg9 0.667 0.333 0.576
Pt1 0.000 0.000 0.500
Pt2 0.333 0.667 0.167
Pt3 0.667 0.333 0.833

---

Entry 2
Hg3Pt | PBEsol | optimized geometry

Calculated values
As for the space-group type: No. 123. The density of states at the Fermi level comes out at 1.56 states/eV/cell. The volume comes out at 19.88 Å³/atom. For the theoretical density, the calculation gives 16.64 Mg/m³.

a b c (Å): 2.975 2.975 8.987
angles (deg): 90.00 90.00 90.00
Positions (direct):
Hg1 0.000 0.000 0.000
Hg2 0.500 0.500 0.282
Hg3 0.500 0.500 0.718
Pt1 0.000 0.000 0.500

---

Q: Which of them is the most stable? A: entry 2.

---

Entry 1
ReHg2Pt | PBEsol | optimized geometry

Calculated values
As for the space-group type: No. 216. The density of states at the Fermi level comes out at 8.05 states/eV/cell. The volume comes out at 17.45 Å³/atom. For the theoretical density, the calculation gives 18.62 Mg/m³.

a b c (Å): 6.536 6.536 6.536
angles (deg): 90.00 90.00 90.00
Positions (direct):
Re1 0.000 0.000 0.000
Re2 0.000 0.500 0.500
Re3 0.500 0.000 0.500
Re4 0.500 0.500 0.000
Hg1 0.000 0.000 0.500
Hg2 0.000 0.500 0.000
Hg3 0.250 0.250 0.750
Hg4 0.250 0.750 0.250
Hg5 0.500 0.000 0.000
Hg6 0.500 0.500 0.500
Hg7 0.750 0.250 0.250
Hg8 0.750 0.750 0.750
Pt1 0.250 0.250 0.250
Pt2 0.250 0.750 0.750
Pt3 0.750 0.250 0.750
Pt4 0.750 0.750 0.250

---

Entry 2
ReHg2Pt | PBEsol | optimized geometry

Calculated values
As for the space-group type: No. 65. The density of states at the Fermi level comes out at 5.31 states/eV/cell. The volume comes out at 17.05 Å³/atom. For the theoretical density, the calculation gives 19.05 Mg/m³.

a b c (Å): 5.904 8.348 2.767
angles (deg): 90.00 90.00 90.00
Positions (direct):
Re1 0.000 0.000 0.000
Re2 0.500 0.500 0.000
Hg1 0.250 0.250 0.500
Hg2 0.250 0.750 0.500
Hg3 0.750 0.250 0.500
Hg4 0.750 0.750 0.500
Pt1 0.000 0.500 0.000
Pt2 0.500 0.000 0.000

---

Q: Which of them is the most stable? A: entry 2.